Density functional theory data (PBE-GGA) for crystalline YTmGa at its relaxed geometry.

The space group is I4mm (No. 107) and the conventional cell measures 3.448, 3.448 and 13.002 Å, with angles of 90.00, 90.00 and 90.00 degrees. The distinct sites, in fractional coordinates, are Y at (0.000, 0.000, 0.000), Tm at (0.000, 0.000, 0.292) and Ga at (0.000, 0.000, 0.649).

The total energy is -30.27 eV/cell. The calculated formation energy comes out at -390.4 meV/atom. Its energy above the most stable polymorph in this dataset is 33 meV/atom. The calculation puts the density of states at the Fermi level at 4.92 states/eV per cell. The value obtained for the total magnetization is 0.00 Bohr magnetons per cell.

Density functional theory data (PBE-GGA) for crystalline TaTl2HO4 at its relaxed geometry.

The space group is P2/m (No. 10) and the conventional cell measures 5.873, 3.107 and 6.866 Å, with angles of 90.00, 111.78 and 90.00 degrees. The distinct sites, in fractional coordinates, are Ta at (0.000, 0.000, 0.000), Tl at (0.000, 0.500, 0.500), Tl at (0.500, 0.000, 0.500), H at (0.500, 0.500, 0.000), O at (0.172, 0.500, 0.191) and O at (0.260, 0.000, 0.879).

The total energy is -48.24 eV/cell. The calculation puts the density of states at the Fermi level at 0.32 states/eV per cell. The value obtained for the total magnetization is 0.00 Bohr magnetons per cell.

Density functional theory data (PBE-GGA) for crystalline SrBeP at its relaxed geometry.

The space group is F-43m (No. 216) and the conventional cell measures 6.793, 6.793 and 6.793 Å, with angles of 90.00, 90.00 and 90.00 degrees. The distinct sites, in fractional coordinates, are Sr at (0.000, 0.000, 0.000), Be at (0.250, 0.250, 0.250) and P at (0.250, 0.250, 0.750).

The total energy is -36.65 eV/cell. The calculated formation energy comes out at 552.2 meV/atom. Its energy above the most stable polymorph in this dataset is 1247 meV/atom. The calculation puts the density of states at the Fermi level at 7.47 states/eV per cell. The value obtained for the total magnetization is 0.00 Bohr magnetons per cell.